No. 1
This record from the Open Quantum Materials Database describes GeAu15 after structural relaxation. The functional is PBE.

## Properties
total DFT energy (no corrections): -3.30 eV/atom
density: 12.5 Mg/m³

Unit cell a=4.084 b=4.093 c=48.047 alpha=90.00 beta=90.00 gamma=90.00
Atoms (fractional coordinates):
Ge  0.000  0.500  0.163
Au  0.000  0.500  0.791
Au  0.500  0.000  0.164
Au  0.000  0.000  0.388
Au  0.000  0.500  0.343
Au  0.500  0.500  0.209
Au  0.500  0.500  0.656
Au  0.000  0.500  0.433
Au  0.500  0.000  0.522
Au  0.500  0.000  0.433
Au  0.500  0.500  0.388
Au  0.000  0.500  0.701
Au  0.000  0.000  0.567
Au  0.500  0.000  0.344
Ge  0.000  0.000  0.837
Au  0.000  0.500  0.522
Au  0.500  0.500  0.478
Au  0.000  0.000  0.746
Au  0.500  0.000  0.791
Au  0.000  0.000  0.299
Au  0.500  0.000  0.612
Au  0.500  0.000  0.255
Au  0.000  0.500  0.254
Au  0.000  0.000  0.209
Au  0.500  0.000  0.701
Au  0.000  0.000  0.657
Au  0.500  0.500  0.299
Au  0.500  0.500  0.567
Au  0.500  0.500  0.836
Au  0.000  0.500  0.612
Au  0.500  0.500  0.745
Au  0.000  0.000  0.478

No. 2
This record from the Open Quantum Materials Database describes GeAu15 after structural relaxation. The functional is PBE.

## Properties
total DFT energy (no corrections): -3.29 eV/atom
density: 11.0 Mg/m³

Unit cell a=8.296 b=2.909 c=37.810 alpha=90.00 beta=90.03 gamma=90.00
Atoms (fractional coordinates):
Au  0.125  0.250  0.520
Au  0.625  0.250  0.283
Au  0.375  0.750  0.480
Au  0.875  0.750  0.322
Au  0.125  0.250  0.678
Au  0.375  0.750  0.322
Au  0.125  0.250  0.208
Au  0.625  0.250  0.362
Au  0.875  0.750  0.559
Au  0.382  0.750  0.240
Ge  0.375  0.750  0.792
Au  0.875  0.750  0.638
Au  0.875  0.750  0.792
Au  0.875  0.750  0.716
Au  0.625  0.250  0.520
Au  0.375  0.750  0.717
Au  0.618  0.250  0.760
Au  0.625  0.250  0.598
Au  0.125  0.250  0.441
Au  0.125  0.250  0.362
Au  0.375  0.750  0.559
Au  0.375  0.750  0.402
Au  0.875  0.750  0.480
Au  0.625  0.250  0.441
Au  0.132  0.250  0.760
Ge  0.625  0.250  0.208
Au  0.625  0.250  0.678
Au  0.125  0.250  0.284
Au  0.125  0.250  0.599
Au  0.875  0.750  0.401
Au  0.375  0.750  0.638
Au  0.868  0.750  0.240

No. 3
This record from the Open Quantum Materials Database describes Hf3Ge4Au4 after structural relaxation. The functional is PBE.

## Properties
total DFT energy (no corrections): -5.94 eV/atom
total moment: 0.010 μB per cell
density: 12.6 Mg/m³

Unit cell a=6.628 b=4.056 c=7.920 alpha=90.00 beta=90.15 gamma=90.00
Atoms (fractional coordinates):
Ge  0.740  0.250  0.369
Au  0.356  0.750  0.934
Ge  0.808  0.750  0.886
Au  0.645  0.250  0.048
Au  0.152  0.250  0.448
Au  0.845  0.750  0.573
Hf  0.537  0.250  0.686
Ge  0.230  0.250  0.119
Hf  0.460  0.750  0.313
Hf  0.967  0.750  0.195
Ge  0.259  0.750  0.626

No. 4
This record from the Open Quantum Materials Database describes Hf3Ge4Au4 after structural relaxation. The functional is PBE.

## Properties
total DFT energy (no corrections): -5.88 eV/atom
total moment: 0.002 μB per cell
density: 11.2 Mg/m³

Unit cell a=6.215 b=6.215 c=7.593 alpha=65.84 beta=65.84 gamma=90.00
Atoms (fractional coordinates):
Au  0.876  0.876  0.755
Ge  0.245  0.245  0.510
Au  0.369  0.369  0.755
Hf  0.250  0.750  0.500
Au  0.631  0.124  0.245
Hf  0.750  0.250  0.500
Au  0.124  0.631  0.245
Hf  0.500  0.500  0.000
Ge  0.755  0.755  0.490
Ge  0.000  0.500  0.000
Ge  0.500  0.000  0.000

No. 5
This record from the Open Quantum Materials Database describes HfGe2Au after structural relaxation. The functional is PBE.

## Properties
total DFT energy (no corrections): -5.62 eV/atom
total moment: 0.003 μB per cell
density: 11.3 Mg/m³

Unit cell a=4.769 b=4.769 c=4.769 alpha=60.00 beta=60.00 gamma=60.00
Atoms (fractional coordinates):
Ge  0.000  0.000  0.000
Au  0.250  0.250  0.250
Hf  0.500  0.500  0.500
Ge  0.750  0.750  0.750

No. 6
This record from the Open Quantum Materials Database describes Hf2Ge3Au2 after structural relaxation. The functional is PBE.

## Properties
total DFT energy (no corrections): -5.87 eV/atom
total moment: 0.027 μB per cell
density: 11.5 Mg/m³

Unit cell a=8.846 b=8.846 c=8.846 alpha=28.51 beta=28.51 gamma=28.51
Atoms (fractional coordinates):
Au  0.999  0.999  0.999
Ge  0.629  0.629  0.629
Hf  0.752  0.752  0.752
Ge  0.390  0.390  0.390
Hf  0.247  0.247  0.247
Ge  0.857  0.857  0.857
Au  0.500  0.500  0.500